! Li3Sc3TaSe8 | the Alexandria database | PBE | relaxed; values from VASP
&SYSTEM
  ibrav = 0, nat = 15, ntyp = 4
/
ATOMIC_SPECIES
Li 6.94 Li.upf
Se 78.96 Se.upf
Ta 180.95 Ta.upf
Sc 44.96 Sc.upf
CELL_PARAMETERS angstrom
7.593 0.000 0.000
-3.797 6.576 -0.025
0.000 -4.362 6.515
ATOMIC_POSITIONS crystal
Li 0.000 0.000 0.000
Se 0.758 0.516 0.261
Se 0.755 0.997 0.739
Se 0.242 0.997 0.739
Li 0.000 0.500 0.000
Ta 0.000 0.000 0.500
Se 0.758 0.003 0.261
Se 0.749 0.497 0.746
Se 0.242 0.484 0.739
Se 0.251 0.503 0.254
Sc 0.000 0.500 0.500
Se 0.245 0.003 0.261
Li 0.500 0.500 0.000
Sc 0.500 0.500 0.500
Sc 0.500 0.000 0.500
! N(E_F)   0.274 states/eV/atom
! Formation energy without anion corrections   -1395 meV per atom

***

! YErGaNi | the Alexandria database | PBE | relaxed; values from VASP
&SYSTEM
  ibrav = 0, nat = 4, ntyp = 4
/
ATOMIC_SPECIES
Er 167.26 Er.upf
Ni 58.69 Ni.upf
Ga 69.72 Ga.upf
Y 88.91 Y.upf
CELL_PARAMETERS angstrom
-4.859 0.384 -0.660
-2.197 -2.510 -3.614
-2.935 -3.797 1.075
ATOMIC_POSITIONS crystal
Er 0.250 0.250 0.250
Ni 0.500 0.500 0.500
Ga 0.000 0.000 0.000
Y 0.750 0.750 0.750
! Excess energy over the best structure of this formula in the dataset   49 meV/atom
! N(E_F)   0.865 states/eV/atom
! Formation energy from the elements   -0.46 eV per atom

***

! ErTlF4 | the Alexandria database | PBE | relaxed; values from VASP
&SYSTEM
  ibrav = 0, nat = 12, ntyp = 3
/
ATOMIC_SPECIES
Er 167.26 Er.upf
F 19.00 F.upf
Tl 204.38 Tl.upf
CELL_PARAMETERS angstrom
4.131 0.000 -1.413
0.000 6.492 0.000
0.788 0.000 9.049
ATOMIC_POSITIONS crystal
Er 0.917 0.250 0.833
F 0.173 0.973 0.346
Tl 0.691 0.250 0.383
F 0.420 0.250 0.839
F 0.580 0.750 0.161
Tl 0.309 0.750 0.617
Er 0.083 0.750 0.167
F 0.827 0.473 0.654
F 0.000 0.000 0.000
F 0.000 0.500 0.000
F 0.827 0.027 0.654
F 0.173 0.527 0.346
! Excess energy over the best structure of this formula in the dataset   0 meV/atom
! N(E_F)   0.000 states/eV/atom
! Formation energy without anion corrections   -3380 meV per atom

***

! Li2CaOs | the Alexandria database | PBE | relaxed; values from VASP
&SYSTEM
  ibrav = 0, nat = 4, ntyp = 3
/
ATOMIC_SPECIES
Os 190.23 Os.upf
Ca 40.08 Ca.upf
Li 6.94 Li.upf
CELL_PARAMETERS angstrom
-0.369 -4.641 -2.137
4.018 -2.957 1.164
-3.206 2.838 2.813
ATOMIC_POSITIONS crystal
Os 0.500 0.500 0.000
Ca 0.750 0.250 0.500
Li 0.250 0.750 0.500
Li 0.000 0.000 0.000
! Excess energy over the best structure of this formula in the dataset   178 meV/atom
! N(E_F)   0.335 states/eV/atom
! Formation energy from the elements   0.51 eV per atom

***

! Pm3DyAu2 | the Alexandria database | PBE | relaxed; values from VASP
&SYSTEM
  ibrav = 0, nat = 12, ntyp = 3
/
ATOMIC_SPECIES
Pm 145.00 Pm.upf
Dy 162.50 Dy.upf
Au 196.97 Au.upf
CELL_PARAMETERS angstrom
7.181 0.000 0.000
0.000 7.501 0.000
-3.591 -3.750 7.040
ATOMIC_POSITIONS crystal
Pm 0.231 0.481 0.462
Pm 0.500 0.250 0.000
Dy 0.000 0.500 0.000
Pm 0.500 0.750 0.000
Dy 0.000 0.000 0.000
Au 0.434 0.640 0.280
Pm 0.769 0.019 0.538
Au 0.846 0.140 0.280
Au 0.154 0.860 0.720
Au 0.566 0.360 0.720
Pm 0.231 0.981 0.462
Pm 0.769 0.519 0.538
! Excess energy over the best structure of this formula in the dataset   163 meV/atom
! N(E_F)   1.347 states/eV/atom
! Formation energy from the elements   -0.41 eV per atom

***

! Ta2TlIn | the Alexandria database | PBE | relaxed; values from VASP
&SYSTEM
  ibrav = 0, nat = 4, ntyp = 3
/
ATOMIC_SPECIES
Ta 180.95 Ta.upf
In 114.82 In.upf
Tl 204.38 Tl.upf
CELL_PARAMETERS angstrom
-1.464 -2.634 0.582
2.678 0.140 1.492
-4.527 4.225 7.727
ATOMIC_POSITIONS crystal
Ta 0.000 0.000 0.016
In 0.500 0.500 0.772
Ta 0.500 0.500 0.226
Tl 0.000 0.000 0.486
! Excess energy over the best structure of this formula in the dataset   0 meV/atom
! N(E_F)   0.769 states/eV/atom
! Formation energy from the elements   0.32 eV per atom

***

! DyPPd4 | the Alexandria database | PBE | relaxed; values from VASP
&SYSTEM
  ibrav = 0, nat = 12, ntyp = 3
/
ATOMIC_SPECIES
Dy 162.50 Dy.upf
Pd 106.42 Pd.upf
P 30.97 P.upf
CELL_PARAMETERS angstrom
-2.626 2.743 -1.145
-5.127 -4.358 1.321
-0.377 2.573 7.028
ATOMIC_POSITIONS crystal
Dy 0.000 0.625 0.750
Pd 0.500 0.072 0.250
Pd 0.000 0.000 0.000
Pd 0.000 0.000 0.500
Pd 0.500 0.304 0.938
P 0.000 0.784 0.250
Pd 0.500 0.304 0.562
Pd 0.500 0.696 0.438
Pd 0.500 0.696 0.062
Dy 0.000 0.375 0.250
Pd 0.500 0.928 0.750
P 0.000 0.216 0.750
! N(E_F)   0.531 states/eV/atom
! Formation energy from the elements   -0.70 eV per atom

***

! AlNiHg | the Alexandria database | PBE | relaxed; values from VASP
&SYSTEM
  ibrav = 0, nat = 3, ntyp = 3
/
ATOMIC_SPECIES
Al 26.98 Al.upf
Hg 200.59 Hg.upf
Ni 58.69 Ni.upf
CELL_PARAMETERS angstrom
4.244 0.000 0.000
-2.122 3.675 0.000
0.000 0.000 3.078
ATOMIC_POSITIONS crystal
Al 0.000 0.000 0.835
Hg 0.333 0.667 0.333
Ni 0.667 0.333 0.832
! Excess energy over the best structure of this formula in the dataset   142 meV/atom
! N(E_F)   0.448 states/eV/atom
! Formation energy from the elements   0.05 eV per atom

***

! LaTh2Zn4 | the Alexandria database | PBE | relaxed; values from VASP
&SYSTEM
  ibrav = 0, nat = 7, ntyp = 3
/
ATOMIC_SPECIES
Zn 65.41 Zn.upf
La 138.91 La.upf
Th 232.04 Th.upf
CELL_PARAMETERS angstrom
4.833 0.000 -1.541
-0.491 4.808 -1.541
-0.056 -0.062 8.175
ATOMIC_POSITIONS crystal
Zn 0.122 0.622 0.244
Zn 0.878 0.378 0.756
Zn 0.378 0.878 0.756
Zn 0.622 0.122 0.244
La 0.000 0.000 0.000
Th 0.741 0.741 0.482
Th 0.259 0.259 0.518
! N(E_F)   0.704 states/eV/atom
! Formation energy from the elements   -0.02 eV per atom

***

! RbPb3Br7 | the Alexandria database | PBE | relaxed; values from VASP
&SYSTEM
  ibrav = 0, nat = 11, ntyp = 3
/
ATOMIC_SPECIES
Br 79.90 Br.upf
Pb 207.20 Pb.upf
Rb 85.47 Rb.upf
CELL_PARAMETERS angstrom
7.388 -0.156 -1.213
-1.839 7.273 -1.486
0.366 -0.156 7.478
ATOMIC_POSITIONS crystal
Br 0.621 0.271 0.039
Pb 0.771 0.000 0.229
Br 0.379 0.729 0.961
Pb 0.229 0.000 0.771
Br 0.151 0.220 0.151
Br 0.500 0.000 0.500
Br 0.849 0.780 0.849
Br 0.039 0.271 0.621
Rb 0.500 0.500 0.500
Br 0.961 0.729 0.379
Pb 0.000 0.500 0.000
! N(E_F)   0.000 states/eV/atom
! Formation energy without anion corrections   -1046 meV per atom

***

! La4TaSe | the Alexandria database | PBE | relaxed; values from VASP
&SYSTEM
  ibrav = 0, nat = 6, ntyp = 3
/
ATOMIC_SPECIES
La 138.91 La.upf
Se 78.96 Se.upf
Ta 180.95 Ta.upf
CELL_PARAMETERS angstrom
0.000 4.445 4.445
4.445 0.000 4.445
4.445 4.445 0.000
ATOMIC_POSITIONS crystal
La 0.373 0.373 0.373
Se 0.750 0.750 0.750
La 0.880 0.373 0.373
La 0.373 0.373 0.880
Ta 0.000 0.000 0.000
La 0.373 0.880 0.373
! N(E_F)   1.301 states/eV/atom
! Formation energy without anion corrections   541 meV per atom

***

! RbBP | the Alexandria database | PBE | relaxed; values from VASP
&SYSTEM
  ibrav = 0, nat = 12, ntyp = 3
/
ATOMIC_SPECIES
Rb 85.47 Rb.upf
B 10.81 B.upf
P 30.97 P.upf
CELL_PARAMETERS angstrom
-3.212 2.516 8.501
-0.260 -4.623 1.270
7.131 0.314 2.601
ATOMIC_POSITIONS crystal
Rb 0.715 0.000 0.105
B 0.000 0.330 0.265
Rb 0.215 0.500 0.605
P 0.000 0.000 0.399
B 0.500 0.830 0.765
B 0.500 0.170 0.765
Rb 0.785 0.500 0.605
Rb 0.285 0.000 0.105
P 0.500 0.500 0.899
P 0.500 0.000 0.540
P 0.000 0.500 0.040
B 0.000 0.670 0.265
! Excess energy over the best structure of this formula in the dataset   5 meV/atom
! Formation energy from the elements   -0.23 eV per atom

***

! Ho5Ge2Pb | the Alexandria database | PBE | relaxed; values from VASP
&SYSTEM
  ibrav = 0, nat = 16, ntyp = 3
/
ATOMIC_SPECIES
Pb 207.20 Pb.upf
Ge 72.64 Ge.upf
Ho 164.93 Ho.upf
CELL_PARAMETERS angstrom
0.953 5.035 -6.014
-3.188 -5.287 -4.931
-4.983 2.698 6.659
ATOMIC_POSITIONS crystal
Pb 0.250 0.250 0.500
Ge 0.351 0.851 0.000
Ge 0.149 0.351 0.000
Ho 0.295 0.795 0.282
Ho 0.013 0.513 0.718
Ho 0.795 0.987 0.282
Ge 0.851 0.649 0.000
Ho 0.205 0.013 0.718
Ho 0.705 0.205 0.718
Ge 0.649 0.149 0.000
Ho 0.513 0.705 0.718
Pb 0.750 0.750 0.500
Ho 0.487 0.295 0.282
Ho 0.000 0.000 0.000
Ho 0.500 0.500 0.000
Ho 0.987 0.487 0.282
! N(E_F)   0.883 states/eV/atom
! Formation energy from the elements   -0.69 eV per atom

***

! Np3Ga7Ir4 | the Alexandria database | PBE | relaxed; values from VASP
&SYSTEM
  ibrav = 0, nat = 14, ntyp = 3
/
ATOMIC_SPECIES
Ir 192.22 Ir.upf
Ga 69.72 Ga.upf
Np 237.00 Np.upf
CELL_PARAMETERS angstrom
4.126 0.000 1.041
1.470 7.238 2.870
0.028 0.151 8.589
ATOMIC_POSITIONS crystal
Ir 0.337 0.546 0.780
Ga 0.505 0.786 0.203
Ga 0.158 0.617 0.068
Np 0.000 0.500 0.500
Np 0.695 0.815 0.794
Ga 0.000 0.000 0.000
Ir 0.886 0.886 0.342
Np 0.305 0.185 0.206
Ir 0.114 0.114 0.658
Ga 0.495 0.214 0.797
Ga 0.842 0.383 0.932
Ir 0.663 0.454 0.220
Ga 0.320 0.836 0.525
Ga 0.680 0.164 0.475
! N(E_F)   1.746 states/eV/atom
! Formation energy from the elements   -0.40 eV per atom

***

! LaIn2Se | the Alexandria database | PBE | relaxed; values from VASP
&SYSTEM
  ibrav = 0, nat = 4, ntyp = 3
/
ATOMIC_SPECIES
Se 78.96 Se.upf
La 138.91 La.upf
In 114.82 In.upf
CELL_PARAMETERS angstrom
4.285 0.000 0.000
0.000 4.285 0.000
0.000 0.000 6.020
ATOMIC_POSITIONS crystal
Se 0.000 0.500 0.500
La 0.500 0.000 0.500
In 0.000 0.000 0.000
In 0.500 0.500 0.000
! N(E_F)   0.777 states/eV/atom
! Formation energy without anion corrections   -756 meV per atom

***

! TlCNF2 | the Alexandria database | PBE | relaxed; values from VASP
&SYSTEM
  ibrav = 0, nat = 5, ntyp = 4
/
ATOMIC_SPECIES
F 19.00 F.upf
Tl 204.38 Tl.upf
C 12.01 C.upf
N 14.01 N.upf
CELL_PARAMETERS angstrom
4.887 0.000 0.000
0.000 4.887 0.000
0.000 0.000 2.541
ATOMIC_POSITIONS crystal
F 0.000 0.500 0.000
Tl 0.500 0.500 0.500
C 0.000 0.000 0.000
F 0.500 0.000 0.000
N 0.000 0.000 0.500
! Excess energy over the best structure of this formula in the dataset   0 meV/atom
! N(E_F)   0.197 states/eV/atom
! Formation energy without anion corrections   -306 meV per atom

***

! La2Pm5Th4 | the Alexandria database | PBE | relaxed; values from VASP
&SYSTEM
  ibrav = 0, nat = 11, ntyp = 3
/
ATOMIC_SPECIES
Th 232.04 Th.upf
Pm 145.00 Pm.upf
La 138.91 La.upf
CELL_PARAMETERS angstrom
-0.090 -2.762 -2.100
-1.607 -5.660 7.514
-12.010 2.051 0.688
ATOMIC_POSITIONS crystal
Th 0.611 0.776 0.222
Pm 0.872 0.533 0.745
Th 0.996 0.674 0.992
Th 0.004 0.326 0.008
Pm 0.861 0.921 0.722
La 0.262 0.285 0.523
Th 0.389 0.224 0.778
Pm 0.500 0.000 0.000
Pm 0.128 0.467 0.255
La 0.738 0.715 0.477
Pm 0.139 0.079 0.278
! N(E_F)   1.545 states/eV/atom
! Formation energy from the elements   0.30 eV per atom

***

! LiScH2Se2O7 | the Alexandria database | PBE | relaxed; values from VASP
&SYSTEM
  ibrav = 0, nat = 104, ntyp = 5
/
ATOMIC_SPECIES
Sc 44.96 Sc.upf
Li 6.94 Li.upf
H 1.01 H.upf
O 16.00 O.upf
Se 78.96 Se.upf
CELL_PARAMETERS angstrom
5.616 0.000 0.000
0.000 15.969 -0.011
0.000 7.798 15.651
ATOMIC_POSITIONS crystal
Sc 0.000 0.372 0.756
Li 0.808 0.948 0.189
Sc 0.424 0.750 0.500
Sc 0.000 0.128 0.244
H 0.585 0.039 0.753
O 0.686 0.311 0.730
Li 0.808 0.552 0.811
Li 0.697 0.328 0.218
O 0.568 0.185 0.420
Sc 0.500 0.000 0.000
O 0.314 0.689 0.270
O 0.226 0.582 0.170
O 0.948 0.758 0.138
Sc 0.000 0.628 0.244
O 0.002 0.657 0.729
Se 0.500 0.870 0.642
O 0.931 0.495 0.648
Se 0.505 0.364 0.873
O 0.314 0.811 0.730
O 0.998 0.343 0.271
Se 0.505 0.136 0.127
H 0.096 0.285 0.290
O 0.774 0.418 0.830
O 0.432 0.685 0.420
O 0.451 0.412 0.942
H 0.567 0.880 0.316
H 0.567 0.620 0.684
O 0.305 0.073 0.209
Se 0.998 0.134 0.943
Li 0.697 0.172 0.782
O 0.695 0.573 0.209
O 0.225 0.323 0.684
H 0.415 0.539 0.753
Li 0.192 0.448 0.189
O 0.052 0.258 0.138
Sc 0.500 0.500 0.000
O 0.002 0.843 0.271
O 0.998 0.157 0.729
O 0.798 0.936 0.080
O 0.931 0.005 0.352
Se 0.495 0.636 0.127
Se 0.002 0.866 0.057
H 0.938 0.158 0.674
O 0.320 0.347 0.420
Se 0.077 0.100 0.559
H 0.433 0.120 0.684
O 0.451 0.088 0.058
H 0.938 0.342 0.326
Se 0.998 0.366 0.057
O 0.496 0.403 0.257
Se 0.002 0.634 0.943
O 0.264 0.896 0.092
H 0.062 0.658 0.674
O 0.847 0.341 0.420
Sc 0.576 0.250 0.500
H 0.433 0.380 0.316
O 0.226 0.918 0.830
O 0.264 0.604 0.908
H 0.096 0.215 0.710
O 0.504 0.597 0.743
H 0.585 0.461 0.247
O 0.153 0.841 0.420
O 0.736 0.396 0.092
Se 0.495 0.864 0.873
O 0.568 0.315 0.580
Sc 0.000 0.872 0.756
O 0.847 0.159 0.580
O 0.202 0.064 0.920
O 0.736 0.104 0.908
O 0.432 0.815 0.580
O 0.549 0.912 0.942
Li 0.192 0.052 0.811
O 0.948 0.742 0.862
Se 0.077 0.400 0.441
O 0.798 0.564 0.920
Li 0.303 0.672 0.782
O 0.774 0.082 0.170
H 0.062 0.842 0.326
O 0.775 0.823 0.684
O 0.153 0.659 0.580
Se 0.923 0.900 0.441
Se 0.500 0.630 0.358
O 0.680 0.653 0.580
O 0.069 0.995 0.648
O 0.775 0.677 0.316
Se 0.500 0.130 0.358
Se 0.923 0.600 0.559
O 0.504 0.903 0.257
Li 0.303 0.828 0.218
O 0.320 0.153 0.580
O 0.680 0.847 0.420
O 0.225 0.177 0.316
O 0.052 0.242 0.862
O 0.496 0.097 0.743
H 0.904 0.785 0.290
O 0.686 0.189 0.270
O 0.695 0.927 0.791
O 0.202 0.436 0.080
Se 0.500 0.370 0.642
O 0.069 0.505 0.352
H 0.904 0.715 0.710
O 0.549 0.588 0.058
H 0.415 0.961 0.247
O 0.305 0.427 0.791
! N(E_F)   0.000 states/eV/atom

***

Record order is preserved below.
Calculated total energy: -5.693; -5.422; -5.783; -3.754; -4.646; -6.878; -5.834; -3.220; -3.573; -3.210; -5.300; -4.578; -5.165; -7.222; -4.229; -5.038; -5.456; -5.956 eV/atom